A plane-wave DFT calculation with GGA-PBE was carried out for crystalline ZnCrRhN2 at its relaxed geometry.

abc: 3.7232 4.7342 3.7232
angles: 90.00 90.00 90.00
Last column: nearest neighbours and their distance in Å.
Sites, in units of the cell vectors:
1 Cr 0.0000 0.5000 0.0000  2 Zn 2.37, 4 Rh 2.63
2 N 0.5000 0.0000 0.0000  2 Zn 1.86
3 N 0.0000 0.0000 0.5000  2 Zn 1.86
4 Zn 0.0000 0.0000 0.0000  4 N 1.86
5 Rh 0.5000 0.5000 0.5000  4 Cr 2.63

Output
* energy relative to the elements, uncorrected: 2.169 eV/atom
* symmetry: P4/mmm (123)
* calculated density: 6.3 g cm⁻³